Record 1
Computed, not measured: YSc2Tl after structural relaxation at the GGA-PBEsol level of DFT. Values from VASP.

D(E_F) ... 1.686 states/eV per atom
V ... 26.0 A^3/atom
Formation energy ... 0.13 eV/atom
Theoretical density ... 6.1 g/cm3
Polymorph energy (0 for the lowest one) ... 372 meV/atom

Structure (Quantum ESPRESSO input):
```
&SYSTEM
  ibrav = 0, nat = 4, ntyp = 3
/
ATOMIC_SPECIES
Y 88.91 Y.upf
Sc 44.96 Sc.upf
Tl 204.38 Tl.upf
CELL_PARAMETERS angstrom
1.6449 0.9497 11.0818
-1.6449 0.9497 11.0818
0.0000 -1.8994 11.0818
ATOMIC_POSITIONS crystal
Y 0.0000 0.0000 0.0000
Sc 0.0943 0.0943 0.0943
Sc 0.9057 0.9057 0.9057
Tl 0.5000 0.5000 0.5000
```



Record 2
Computed, not measured: IrOs3 after structural relaxation at the GGA-PBEsol level of DFT. Values from VASP.

D(E_F) ... 0.962 states/eV per atom
V ... 14.0 A^3/atom
Formation energy ... 0.09 eV/atom
Theoretical density ... 22.7 g/cm3

Structure (Quantum ESPRESSO input):
```
&SYSTEM
  ibrav = 0, nat = 4, ntyp = 2
/
ATOMIC_SPECIES
Ir 192.22 Ir.upf
Os 190.23 Os.upf
CELL_PARAMETERS angstrom
3.8234 0.0000 0.0000
0.0000 3.8234 0.0000
0.0000 0.0000 3.8234
ATOMIC_POSITIONS crystal
Ir 0.0000 0.0000 0.0000
Os 0.0000 0.5000 0.5000
Os 0.5000 0.0000 0.5000
Os 0.5000 0.5000 0.0000
```



Record 3
Computed, not measured: GaIrSeBr2 after structural relaxation at the GGA-PBEsol level of DFT. Values from VASP.

D(E_F) ... 1.275 states/eV per atom
V ... 23.5 A^3/atom
E_form (uncorrected) ... 5.17 eV/f.u.
Theoretical density ... 7.1 g/cm3

Structure (Quantum ESPRESSO input):
```
&SYSTEM
  ibrav = 0, nat = 5, ntyp = 4
/
ATOMIC_SPECIES
Ga 69.72 Ga.upf
Ir 192.22 Ir.upf
Se 78.96 Se.upf
Br 79.90 Br.upf
CELL_PARAMETERS angstrom
4.8470 0.0000 0.0000
0.0000 4.8470 0.0000
0.0000 0.0000 5.0112
ATOMIC_POSITIONS crystal
Ga 0.0000 0.0000 0.0000
Ir 0.5000 0.5000 0.5000
Se 0.0000 0.0000 0.5000
Br 0.0000 0.5000 0.0000
Br 0.5000 0.0000 0.0000
```



Record 4
Computed, not measured: YMgFe3 after structural relaxation at the GGA-PBEsol level of DFT. Values from VASP.

D(E_F) ... 1.545 states/eV per atom
V ... 18.0 A^3/atom
Formation energy ... 1.13 eV/atom
Theoretical density ... 5.2 g/cm3

Structure (Quantum ESPRESSO input):
```
&SYSTEM
  ibrav = 0, nat = 5, ntyp = 3
/
ATOMIC_SPECIES
Y 88.91 Y.upf
Mg 24.30 Mg.upf
Fe 55.84 Fe.upf
CELL_PARAMETERS angstrom
4.4823 0.0000 0.0000
0.0000 4.4823 0.0000
0.0000 0.0000 4.4823
ATOMIC_POSITIONS crystal
Y 0.0000 0.0000 0.0000
Mg 0.5000 0.5000 0.5000
Fe 0.0000 0.5000 0.5000
Fe 0.5000 0.0000 0.5000
Fe 0.5000 0.5000 0.0000
```



Record 5
Computed, not measured: Sr3Tl after structural relaxation at the GGA-PBEsol level of DFT. Values from VASP.

D(E_F) ... 1.142 states/eV per atom
V ... 41.2 A^3/atom
Formation energy ... -0.20 eV/atom
Theoretical density ... 4.7 g/cm3

Structure (Quantum ESPRESSO input):
```
&SYSTEM
  ibrav = 0, nat = 4, ntyp = 2
/
ATOMIC_SPECIES
Sr 87.62 Sr.upf
Tl 204.38 Tl.upf
CELL_PARAMETERS angstrom
-2.0673 3.0700 6.4955
2.0673 -3.0700 6.4955
2.0673 3.0700 -6.4955
ATOMIC_POSITIONS crystal
Sr 0.0000 0.0000 0.0000
Sr 0.2979 0.7979 0.5000
Sr 0.7021 0.2021 0.5000
Tl 0.5000 0.5000 0.0000
```



Record 6
Computed, not measured: Rb2Bi2I after structural relaxation at the GGA-PBEsol level of DFT. Values from VASP.

D(E_F) ... 0.235 states/eV per atom
V ... 44.2 A^3/atom
E_form (uncorrected) ... -2.14 eV/f.u.
Theoretical density ... 5.4 g/cm3
Polymorph energy (0 for the lowest one) ... 0 meV/atom

Structure (Quantum ESPRESSO input):
```
&SYSTEM
  ibrav = 0, nat = 10, ntyp = 3
/
ATOMIC_SPECIES
Rb 85.47 Rb.upf
Bi 208.98 Bi.upf
I 126.90 I.upf
CELL_PARAMETERS angstrom
9.4741 0.0000 0.0000
0.0000 9.4741 0.0000
0.0000 0.0000 4.9264
ATOMIC_POSITIONS crystal
Rb 0.1943 0.3057 0.0000
Rb 0.3057 0.8057 0.0000
Rb 0.6943 0.1943 0.0000
Rb 0.8057 0.6943 0.0000
Bi 0.1028 0.6028 0.5000
Bi 0.3972 0.1028 0.5000
Bi 0.6028 0.8972 0.5000
Bi 0.8972 0.3972 0.5000
I 0.0000 0.0000 0.5000
I 0.5000 0.5000 0.5000
```



Record 7
Computed, not measured: EuBPt4 after structural relaxation at the GGA-PBEsol level of DFT. Values from VASP.

D(E_F) ... 2.572 states/eV per atom
V ... 16.1 A^3/atom
Formation energy ... -0.70 eV/atom
Theoretical density ... 16.2 g/cm3

Structure (Quantum ESPRESSO input):
```
&SYSTEM
  ibrav = 0, nat = 12, ntyp = 3
/
ATOMIC_SPECIES
Eu 151.96 Eu.upf
B 10.81 B.upf
Pt 195.08 Pt.upf
CELL_PARAMETERS angstrom
5.4414 0.0000 0.0000
-2.7207 4.7123 0.0000
0.0000 0.0000 7.5525
ATOMIC_POSITIONS crystal
Eu 0.0000 0.0000 0.0000
Eu 0.0000 0.0000 0.5000
B 0.3333 0.6667 0.0000
B 0.6667 0.3333 0.0000
Pt 0.0000 0.5000 0.2001
Pt 0.0000 0.5000 0.7999
Pt 0.3333 0.6667 0.5000
Pt 0.5000 0.0000 0.2001
Pt 0.5000 0.0000 0.7999
Pt 0.5000 0.5000 0.2001
Pt 0.5000 0.5000 0.7999
Pt 0.6667 0.3333 0.5000
```



Record 8
Computed, not measured: Al2C after structural relaxation at the GGA-PBEsol level of DFT. Values from VASP.

D(E_F) ... 0.229 states/eV per atom
V ... 12.2 A^3/atom
Formation energy ... -0.01 eV/atom
Theoretical density ... 3.0 g/cm3

Structure (Quantum ESPRESSO input):
```
&SYSTEM
  ibrav = 0, nat = 3, ntyp = 2
/
ATOMIC_SPECIES
Al 26.98 Al.upf
C 12.01 C.upf
CELL_PARAMETERS angstrom
3.0812 0.0000 0.0000
-1.5406 2.6684 0.0000
0.0000 0.0000 4.4572
ATOMIC_POSITIONS crystal
Al 0.3333 0.6667 0.2669
Al 0.6667 0.3333 0.7331
C 0.0000 0.0000 0.5000
```



Record 9
Computed, not measured: Na2LiP2 after structural relaxation at the GGA-PBEsol level of DFT. Values from VASP.

D(E_F) ... 0.365 states/eV per atom
V ... 18.8 A^3/atom
Formation energy ... -0.05 eV/atom
Theoretical density ... 2.0 g/cm3
Polymorph energy (0 for the lowest one) ... 327 meV/atom

Structure (Quantum ESPRESSO input):
```
&SYSTEM
  ibrav = 0, nat = 10, ntyp = 3
/
ATOMIC_SPECIES
Na 22.99 Na.upf
Li 6.94 Li.upf
P 30.97 P.upf
CELL_PARAMETERS angstrom
8.3536 0.0000 0.0000
0.0000 8.3536 0.0000
0.0000 0.0000 2.6948
ATOMIC_POSITIONS crystal
Na 0.1195 0.3805 0.0000
Na 0.3805 0.8805 0.0000
Na 0.6195 0.1195 0.0000
Na 0.8805 0.6195 0.0000
Li 0.0000 0.0000 0.0000
Li 0.5000 0.5000 0.0000
P 0.1790 0.6790 0.5000
P 0.3210 0.1790 0.5000
P 0.6790 0.8210 0.5000
P 0.8210 0.3210 0.5000
```



Record 10
Computed, not measured: Li4VCr3O8 after structural relaxation at the GGA-PBEsol level of DFT. Values from VASP.

D(E_F) ... 0.642 states/eV per atom
V ... 8.7 A^3/atom
E_form (uncorrected) ... -33.14 eV/f.u.
Theoretical density ... 4.3 g/cm3

Structure (Quantum ESPRESSO input):
```
&SYSTEM
  ibrav = 0, nat = 16, ntyp = 4
/
ATOMIC_SPECIES
Li 6.94 Li.upf
V 50.94 V.upf
Cr 52.00 Cr.upf
O 16.00 O.upf
CELL_PARAMETERS angstrom
2.9173 1.6843 4.7288
-2.9173 1.6843 4.7288
0.0000 -3.3686 4.7288
ATOMIC_POSITIONS crystal
Li 0.0000 0.0000 0.0000
Li 0.0000 0.5000 0.5000
Li 0.5000 0.0000 0.5000
Li 0.5000 0.5000 0.0000
V 0.5000 0.5000 0.5000
Cr 0.0000 0.0000 0.5000
Cr 0.0000 0.5000 0.0000
Cr 0.5000 0.0000 0.0000
O 0.2394 0.7433 0.7433
O 0.2416 0.2416 0.2416
O 0.2567 0.2567 0.7606
O 0.2567 0.7606 0.2567
O 0.7433 0.2394 0.7433
O 0.7433 0.7433 0.2394
O 0.7584 0.7584 0.7584
O 0.7606 0.2567 0.2567
```



Record 11
Computed, not measured: NaYAsBr2 after structural relaxation at the GGA-PBEsol level of DFT. Values from VASP.

D(E_F) ... 0.840 states/eV per atom
V ... 33.6 A^3/atom
E_form (uncorrected) ... -4.77 eV/f.u.
Theoretical density ... 3.4 g/cm3

Structure (Quantum ESPRESSO input):
```
&SYSTEM
  ibrav = 0, nat = 5, ntyp = 4
/
ATOMIC_SPECIES
Na 22.99 Na.upf
Y 88.91 Y.upf
As 74.92 As.upf
Br 79.90 Br.upf
CELL_PARAMETERS angstrom
5.5157 0.0000 0.0000
0.0000 5.5157 0.0000
0.0000 0.0000 5.5250
ATOMIC_POSITIONS crystal
Na 0.0000 0.0000 0.0000
Y 0.5000 0.5000 0.5000
As 0.5000 0.5000 0.0000
Br 0.0000 0.5000 0.5000
Br 0.5000 0.0000 0.5000
```



Record 12
Computed, not measured: K2ZrMn after structural relaxation at the GGA-PBEsol level of DFT. Values from VASP.

D(E_F) ... 1.124 states/eV per atom
V ... 27.0 A^3/atom
Formation energy ... 1.12 eV/atom
Theoretical density ... 3.5 g/cm3

Structure (Quantum ESPRESSO input):
```
&SYSTEM
  ibrav = 0, nat = 4, ntyp = 3
/
ATOMIC_SPECIES
K 39.10 K.upf
Zr 91.22 Zr.upf
Mn 54.94 Mn.upf
CELL_PARAMETERS angstrom
3.1631 0.0000 0.0000
0.0000 6.4397 0.0000
-0.1514 0.0000 5.2946
ATOMIC_POSITIONS crystal
K 0.2470 0.0000 0.2581
K 0.7530 0.0000 0.7419
Zr 0.5000 0.5000 0.0000
Mn 0.0000 0.5000 0.5000
```



Record 13
Computed, not measured: CoTc2Ir2 after structural relaxation at the GGA-PBEsol level of DFT. Values from VASP.

D(E_F) ... 1.303 states/eV per atom
V ... 15.0 A^3/atom
Formation energy ... 0.60 eV/atom
Theoretical density ... 14.2 g/cm3

Structure (Quantum ESPRESSO input):
```
&SYSTEM
  ibrav = 0, nat = 5, ntyp = 3
/
ATOMIC_SPECIES
Co 58.93 Co.upf
Tc 98.00 Tc.upf
Ir 192.22 Ir.upf
CELL_PARAMETERS angstrom
-1.7102 1.7102 6.4021
1.7102 -1.7102 6.4021
1.7102 1.7102 -6.4021
ATOMIC_POSITIONS crystal
Co 0.0000 0.0000 0.0000
Tc 0.2500 0.7500 0.5000
Tc 0.7500 0.2500 0.5000
Ir 0.4041 0.4041 0.0000
Ir 0.5959 0.5959 0.0000
```



Record 14
Computed, not measured: Li2Sm2Ge3 after structural relaxation at the GGA-PBEsol level of DFT. Values from VASP.

D(E_F) ... 0.183 states/eV per atom
V ... 19.3 A^3/atom
Formation energy ... -0.74 eV/atom
Theoretical density ... 6.5 g/cm3

Structure (Quantum ESPRESSO input):
```
&SYSTEM
  ibrav = 0, nat = 14, ntyp = 3
/
ATOMIC_SPECIES
Li 6.94 Li.upf
Sm 150.36 Sm.upf
Ge 72.64 Ge.upf
CELL_PARAMETERS angstrom
2.1695 -9.1775 0.0000
2.1695 9.1775 0.0000
0.0000 0.0000 6.7905
ATOMIC_POSITIONS crystal
Li 0.1912 0.8088 0.5617
Li 0.1912 0.8088 0.9383
Li 0.8088 0.1912 0.0617
Li 0.8088 0.1912 0.4383
Sm 0.3430 0.6570 0.7500
Sm 0.4484 0.5516 0.2500
Sm 0.5516 0.4484 0.7500
Sm 0.6570 0.3430 0.2500
Ge 0.0627 0.9373 0.0654
Ge 0.0627 0.9373 0.4346
Ge 0.2797 0.7203 0.2500
Ge 0.7203 0.2797 0.7500
Ge 0.9373 0.0627 0.5654
Ge 0.9373 0.0627 0.9346
```



Record 15
Computed, not measured: Cd2HgTe2 after structural relaxation at the GGA-PBEsol level of DFT. Values from VASP.

D(E_F) ... 0.241 states/eV per atom
V ... 29.0 A^3/atom
E_form (uncorrected) ... 0.21 eV/f.u.
Theoretical density ... 7.8 g/cm3

Structure (Quantum ESPRESSO input):
```
&SYSTEM
  ibrav = 0, nat = 5, ntyp = 3
/
ATOMIC_SPECIES
Cd 112.41 Cd.upf
Hg 200.59 Hg.upf
Te 127.60 Te.upf
CELL_PARAMETERS angstrom
-2.3748 2.3748 6.4323
2.3748 -2.3748 6.4323
2.3748 2.3748 -6.4323
ATOMIC_POSITIONS crystal
Cd 0.1031 0.1031 0.0000
Cd 0.8969 0.8969 0.0000
Hg 0.5000 0.5000 0.0000
Te 0.2500 0.7500 0.5000
Te 0.7500 0.2500 0.5000
```



Record 16
Computed, not measured: TiTcI2 after structural relaxation at the GGA-PBEsol level of DFT. Values from VASP.

D(E_F) ... 1.061 states/eV per atom
V ... 18.8 A^3/atom
E_form (uncorrected) ... 2.00 eV/f.u.
Theoretical density ... 8.8 g/cm3

Structure (Quantum ESPRESSO input):
```
&SYSTEM
  ibrav = 0, nat = 4, ntyp = 3
/
ATOMIC_SPECIES
Ti 47.87 Ti.upf
Tc 98.00 Tc.upf
I 126.90 I.upf
CELL_PARAMETERS angstrom
0.0000 3.3481 3.3481
3.3481 0.0000 3.3481
3.3481 3.3481 0.0000
ATOMIC_POSITIONS crystal
Ti 0.0000 0.0000 0.0000
Tc 0.5000 0.5000 0.5000
I 0.2500 0.2500 0.2500
I 0.7500 0.7500 0.7500
```



Record 17
Computed, not measured: P4S5 after structural relaxation at the GGA-PBEsol level of DFT. Values from VASP.

D(E_F) ... 0.000 states/eV per atom
V ... 23.2 A^3/atom
E_form (uncorrected) ... -1.31 eV/f.u.
Theoretical density ... 2.3 g/cm3
Polymorph energy (0 for the lowest one) ... 0 meV/atom

Structure (Quantum ESPRESSO input):
```
&SYSTEM
  ibrav = 0, nat = 18, ntyp = 2
/
ATOMIC_SPECIES
P 30.97 P.upf
S 32.06 S.upf
CELL_PARAMETERS angstrom
6.3002 0.0000 0.0000
0.0000 10.6289 0.0000
-2.3403 0.0000 6.2488
ATOMIC_POSITIONS crystal
P 0.0201 0.0000 0.4571
P 0.0682 0.1088 0.0182
P 0.1617 0.7451 0.8949
P 0.2384 0.4835 0.0674
P 0.7616 0.9835 0.9326
P 0.8383 0.2451 0.1051
P 0.9318 0.6088 0.9818
P 0.9799 0.5000 0.5429
S 0.1298 0.6814 0.5835
S 0.2210 0.3910 0.7844
S 0.2660 0.0288 0.3066
S 0.3336 0.3581 0.2967
S 0.4457 0.6422 0.1234
S 0.5543 0.1422 0.8766
S 0.6664 0.8581 0.7033
S 0.7340 0.5288 0.6934
S 0.7790 0.8910 0.2156
S 0.8702 0.1814 0.4165
```



Record 18
Computed, not measured: PmDy3 after structural relaxation at the GGA-PBEsol level of DFT. Values from VASP.

D(E_F) ... 1.675 states/eV per atom
V ... 30.5 A^3/atom
Formation energy ... 0.02 eV/atom
Theoretical density ... 8.6 g/cm3
Polymorph energy (0 for the lowest one) ... 8 meV/atom

Structure (Quantum ESPRESSO input):
```
&SYSTEM
  ibrav = 0, nat = 8, ntyp = 2
/
ATOMIC_SPECIES
Pm 145.00 Pm.upf
Dy 162.50 Dy.upf
CELL_PARAMETERS angstrom
7.0927 0.0000 0.0000
-3.5464 6.1425 0.0000
0.0000 0.0000 5.6002
ATOMIC_POSITIONS crystal
Pm 0.3333 0.6667 0.2500
Pm 0.6667 0.3333 0.7500
Dy 0.1663 0.3327 0.7500
Dy 0.1663 0.8337 0.7500
Dy 0.3327 0.1663 0.2500
Dy 0.6673 0.8337 0.7500
Dy 0.8337 0.1663 0.2500
Dy 0.8337 0.6673 0.2500
```



Record 19
Computed, not measured: TlInTe2 after structural relaxation at the GGA-PBEsol level of DFT. Values from VASP.

V ... 35.4 A^3/atom
E_form (uncorrected) ... -0.89 eV/f.u.
Theoretical density ... 6.7 g/cm3

Structure (Quantum ESPRESSO input):
```
&SYSTEM
  ibrav = 0, nat = 8, ntyp = 3
/
ATOMIC_SPECIES
Tl 204.38 Tl.upf
In 114.82 In.upf
Te 127.60 Te.upf
CELL_PARAMETERS angstrom
-4.0040 4.0040 4.4126
4.0040 -4.0040 4.4126
4.0040 4.0040 -4.4126
ATOMIC_POSITIONS crystal
Tl 0.0000 0.0000 0.0000
Tl 0.7500 0.2500 0.5000
In 0.2500 0.7500 0.5000
In 0.5000 0.5000 0.0000
Te 0.1756 0.6250 0.0506
Te 0.3750 0.4256 0.5506
Te 0.5744 0.1250 0.9494
Te 0.8750 0.8244 0.4494
```



Record 20
Computed, not measured: Mg2SiSe4 after structural relaxation at the GGA-PBEsol level of DFT. Values from VASP.

D(E_F) ... 0.000 states/eV per atom
V ... 23.1 A^3/atom
E_form (uncorrected) ... -6.42 eV/f.u.
Theoretical density ... 4.0 g/cm3

Structure (Quantum ESPRESSO input):
```
&SYSTEM
  ibrav = 0, nat = 28, ntyp = 3
/
ATOMIC_SPECIES
Mg 24.30 Mg.upf
Si 28.09 Si.upf
Se 78.96 Se.upf
CELL_PARAMETERS angstrom
13.3271 0.0000 0.0000
0.0000 7.7927 0.0000
0.0000 0.0000 6.2353
ATOMIC_POSITIONS crystal
Mg 0.0000 0.0000 0.0000
Mg 0.0000 0.5000 0.0000
Mg 0.2319 0.2500 0.4922
Mg 0.2681 0.7500 0.9922
Mg 0.5000 0.0000 0.5000
Mg 0.5000 0.5000 0.5000
Mg 0.7319 0.2500 0.0078
Mg 0.7681 0.7500 0.5078
Si 0.0888 0.7500 0.4040
Si 0.4112 0.2500 0.9040
Si 0.5888 0.7500 0.0960
Si 0.9112 0.2500 0.5960
Se 0.0692 0.2500 0.7437
Se 0.0926 0.7500 0.7665
Se 0.1683 0.5203 0.2471
Se 0.1683 0.9797 0.2471
Se 0.3317 0.0203 0.7471
Se 0.3317 0.4797 0.7471
Se 0.4074 0.2500 0.2665
Se 0.4308 0.7500 0.2437
Se 0.5692 0.2500 0.7563
Se 0.5926 0.7500 0.7335
Se 0.6683 0.5203 0.2529
Se 0.6683 0.9797 0.2529
Se 0.8317 0.0203 0.7529
Se 0.8317 0.4797 0.7529
Se 0.9074 0.2500 0.2335
Se 0.9308 0.7500 0.2563
```